1.
Density functional theory data (PBE) for a relaxed structure of AcGeSbPb.

Calculated values
- magnetic moment (μB per cell) = 0.00
- electronic total energy (eV/atom) = -4.4387
- SG = F-43m, No. 216
- energy relative to the elements, uncorrected (eV/f.u.) = -1.20

Structure (POSCAR):
```
AcGeSbPb
1.0
5.548 0.000 0.000
2.774 4.804 0.000
2.774 1.601 4.530
Pb Sb Ac Ge
1 1 1 1
Direct
0.000 0.000 0.000 Pb
0.250 0.250 0.250 Sb
0.500 0.500 0.500 Ac
0.750 0.750 0.750 Ge
```

---

2.
Density functional theory data (PBE) for a relaxed structure of Ac2Sc2GePb2.

Calculated values
- magnetic moment (μB per cell) = 0.00
- electronic total energy (eV/atom) = -5.2862
- SG = I4/mmm, No. 139
- DFT formation energy (meV/atom) = -584.2

Structure (POSCAR):
```
Ac2Sc2GePb2
1.0
5.067 0.000 0.000
0.000 5.067 0.000
-2.534 -2.534 8.763
Ac Sc Ge Pb
2 2 1 2
Direct
0.174 0.174 0.347 Ac
0.826 0.826 0.653 Ac
0.000 0.500 0.000 Sc
0.500 0.000 0.000 Sc
0.000 0.000 0.000 Ge
0.377 0.377 0.755 Pb
0.623 0.623 0.245 Pb
```

---

| no. | volume (A^3/atom) |
| --- | --- |
| 1 | 30.2 |
| 2 | 32.1 |